Record 1
The following is a DFT calculation (GGA-PBE) of a relaxed La2NdNpN4 crystal.

Calculated values
- total magnetization (μB per cell) = 2.6
- final energy (eV per atom) = -8.90
- space group = No. 10

a = 3.618 Å, b = 6.236 Å, c = 6.313 Å
α = 108.91°, β = 90.00°, γ = 90.00°
Fractional coordinates of all 8 atoms:
La 0.500 0.000 0.500
La 0.000 0.500 0.500
Nd 0.500 0.500 0.000
Np 0.000 0.000 0.000
N 0.500 0.223 0.220
N 0.500 0.777 0.780
N 0.000 0.224 0.783
N 0.000 0.776 0.217

---

Record 2
The following is a DFT calculation (GGA-PBE) of a relaxed La4Nd3NpN8 crystal.

Calculated values
- total magnetization (μB per cell) = 2.9
- final energy (eV per atom) = -8.41
- space group = No. 166

a = 7.298 Å, b = 7.340 Å, c = 7.298 Å
α = 119.82°, β = 120.00°, γ = 90.00°
Fractional coordinates of all 16 atoms:
La 0.500 0.000 0.000
La 0.500 0.000 0.500
La 0.000 0.000 0.000
La 0.000 0.000 0.500
Nd 0.500 0.500 0.000
Nd 0.500 0.500 0.500
Nd 0.000 0.500 0.500
Np 0.000 0.500 0.000
N 0.227 0.723 0.996
N 0.228 0.724 0.455
N 0.251 0.253 0.502
N 0.769 0.723 0.996
N 0.231 0.277 0.004
N 0.749 0.747 0.498
N 0.772 0.276 0.545
N 0.773 0.277 0.004

---

Record 3
The following is a DFT calculation (GGA-PBE) of a relaxed La3Nd2NpN6 crystal.

Calculated values
- total magnetization (μB per cell) = 1.6
- final energy (eV per atom) = -8.61
- space group = No. 12

a = 6.274 Å, b = 6.274 Å, c = 6.327 Å
α = 99.52°, β = 99.52°, γ = 119.89°
Fractional coordinates of all 12 atoms:
La 0.167 0.833 0.500
La 0.833 0.167 0.500
La 0.500 0.500 0.500
Nd 0.334 0.666 0.000
Nd 0.666 0.334 0.000
Np 0.000 0.000 0.000
N 0.927 0.634 0.782
N 0.778 0.778 0.227
N 0.073 0.366 0.218
N 0.634 0.927 0.782
N 0.222 0.222 0.773
N 0.366 0.073 0.218

---

Record 4
The following is a DFT calculation (GGA-PBE) of a relaxed LaNd2OsN4 crystal.

Calculated values
- total magnetization (μB per cell) = 0.0
- final energy (eV per atom) = -8.19
- space group = No. 63

a = 3.528 Å, b = 6.325 Å, c = 12.179 Å
α = 90.00°, β = 90.00°, γ = 106.19°
Fractional coordinates of all 16 atoms:
La 0.118 0.236 0.750
La 0.882 0.764 0.250
Nd 0.368 0.736 0.541
Nd 0.632 0.264 0.041
Nd 0.632 0.264 0.459
Nd 0.368 0.736 0.959
Os 0.849 0.698 0.750
Os 0.151 0.302 0.250
N 0.272 0.544 0.135
N 0.728 0.456 0.635
N 0.728 0.456 0.865
N 0.272 0.544 0.365
N 0.000 0.000 0.500
N 0.000 0.000 0.000
N 0.425 0.850 0.750
N 0.575 0.150 0.250

---

Record 5
The following is a DFT calculation (GGA-PBE) of a relaxed La2Nd4P3N2 crystal.

Calculated values
- total magnetization (μB per cell) = 0.0
- final energy (eV per atom) = -6.85
- space group = No. 139

a = 4.691 Å, b = 4.691 Å, c = 12.620 Å
α = 100.71°, β = 100.71°, γ = 90.00°
Fractional coordinates of all 11 atoms:
La 0.303 0.303 0.606
La 0.697 0.697 0.394
Nd 0.422 0.922 0.845
Nd 0.922 0.422 0.845
Nd 0.078 0.578 0.155
Nd 0.578 0.078 0.155
P 0.000 0.000 0.000
P 0.174 0.174 0.347
P 0.826 0.826 0.653
N 0.395 0.395 0.790
N 0.605 0.605 0.210

---

Record 6
The following is a DFT calculation (GGA-PBE) of a relaxed LaNd3Pa2N6 crystal.

Calculated values
- total magnetization (μB per cell) = 0.0
- final energy (eV per atom) = -8.86
- space group = No. 12

a = 3.611 Å, b = 7.236 Å, c = 8.072 Å
α = 102.77°, β = 102.92°, γ = 90.00°
Fractional coordinates of all 12 atoms:
La 0.500 0.000 0.000
Nd 0.500 0.500 0.000
Nd 0.832 0.163 0.665
Nd 0.168 0.837 0.335
Pa 0.833 0.668 0.666
Pa 0.167 0.332 0.334
N 0.332 0.885 0.664
N 0.674 0.561 0.347
N 0.668 0.115 0.336
N 0.018 0.264 0.036
N 0.982 0.736 0.964
N 0.326 0.439 0.653

---

Number 4 is which compound? LaNd2OsN4